[1]
The following is a DFT calculation (PBE) of an optimized crystal structure of Nd2TcO8.

abc: 7.472 7.472 4.755
angles: 106.05 106.05 31.27
Fractional positions:
Nd  0.176  0.176  0.189
Nd  0.824  0.824  0.811
Tc  0.500  0.500  0.500
O  0.009  0.009  0.697
O  0.242  0.242  0.772
O  0.373  0.373  0.466
O  0.456  0.456  0.043
O  0.544  0.544  0.957
O  0.627  0.627  0.534
O  0.758  0.758  0.228
O  0.991  0.991  0.303

Summary:
symmetry = C2/m
formation energy (no corrections) = -1721 meV per atom
ΔE to the lowest computed polymorph = 20.9 kJ per mole of atoms

[2]
The following is a DFT calculation (PBE) of an optimized crystal structure of ZnMo4Au.

abc: 5.240 5.240 5.240
angles: 60.00 60.00 60.00
Fractional positions:
Zn  0.000  0.000  0.000
Mo  0.124  0.625  0.625
Mo  0.625  0.124  0.625
Mo  0.625  0.625  0.124
Mo  0.625  0.625  0.625
Au  0.250  0.250  0.250

Summary:
symmetry = F-43m
energy of formation from the pure elements = 0.491 eV per atom

[3]
The following is a DFT calculation (PBE) of an optimized crystal structure of LaTi2Pt2.

abc: 6.181 6.181 6.181
angles: 138.01 138.01 60.89
Fractional positions:
La  0.000  0.000  0.000
Ti  0.250  0.750  0.500
Ti  0.750  0.250  0.500
Pt  0.372  0.372  0.000
Pt  0.628  0.628  0.000

Summary:
symmetry = I4/mmm
ΔE to the lowest computed polymorph = 0.0 kJ per mole of atoms
energy of formation from the pure elements = -0.889 eV per atom

[4]
The following is a DFT calculation (PBE) of an optimized crystal structure of Pm6SmTm2Sc.

abc: 8.883 8.883 9.352
angles: 92.98 92.98 116.94
Fractional positions:
Pm  0.009  0.445  0.807
Pm  0.121  0.768  0.553
Pm  0.232  0.879  0.947
Pm  0.291  0.517  0.388
Pm  0.445  0.009  0.307
Pm  0.483  0.709  0.112
Pm  0.517  0.291  0.888
Pm  0.555  0.991  0.693
Pm  0.709  0.483  0.612
Pm  0.768  0.121  0.053
Pm  0.879  0.232  0.447
Pm  0.991  0.555  0.193
Sm  0.029  0.971  0.250
Sm  0.971  0.029  0.750
Tm  0.207  0.306  0.051
Tm  0.306  0.207  0.551
Tm  0.694  0.793  0.449
Tm  0.793  0.694  0.949
Sc  0.420  0.580  0.750
Sc  0.580  0.420  0.250

Summary:
symmetry = C2/c
energy of formation from the pure elements = 0.127 eV per atom

[5]
The following is a DFT calculation (PBE) of an optimized crystal structure of As3RuF.

abc: 4.775 4.775 4.775
angles: 90.00 90.00 90.00
Fractional positions:
As  0.000  0.000  0.500
As  0.000  0.500  0.000
As  0.500  0.000  0.000
Ru  0.000  0.000  0.000
F  0.500  0.500  0.500

Summary:
symmetry = Pm-3m
formation energy (no corrections) = 238 meV per atom
ΔE to the lowest computed polymorph = 0.0 kJ per mole of atoms

[6]
The following is a DFT calculation (PBE) of an optimized crystal structure of Cs2K4Zn.

abc: 12.875 12.875 12.875
angles: 149.17 149.17 44.17
Fractional positions:
Cs  0.157  0.157  0.000
Cs  0.843  0.843  0.000
K  0.000  0.500  0.500
K  0.356  0.356  0.000
K  0.500  0.000  0.500
K  0.644  0.644  0.000
Zn  0.500  0.500  0.000

Summary:
symmetry = I4/mmm
ΔE to the lowest computed polymorph = 3.5 kJ per mole of atoms
energy of formation from the pure elements = 0.094 eV per atom

What did the fourth record say?
The following is a DFT calculation (PBE) of an optimized crystal structure of Pm6SmTm2Sc.

abc: 8.883 8.883 9.352
angles: 92.98 92.98 116.94
Fractional positions:
Pm  0.009  0.445  0.807
Pm  0.121  0.768  0.553
Pm  0.232  0.879  0.947
Pm  0.291  0.517  0.388
Pm  0.445  0.009  0.307
Pm  0.483  0.709  0.112
Pm  0.517  0.291  0.888
Pm  0.555  0.991  0.693
Pm  0.709  0.483  0.612
Pm  0.768  0.121  0.053
Pm  0.879  0.232  0.447
Pm  0.991  0.555  0.193
Sm  0.029  0.971  0.250
Sm  0.971  0.029  0.750
Tm  0.207  0.306  0.051
Tm  0.306  0.207  0.551
Tm  0.694  0.793  0.449
Tm  0.793  0.694  0.949
Sc  0.420  0.580  0.750
Sc  0.580  0.420  0.250

Summary:
symmetry = C2/c
energy of formation from the pure elements = 0.127 eV per atom